Record 1
! Nd2SiSe, relaxed, DFT PBE-GGA; values from VASP
&SYSTEM
  ibrav = 0, nat = 4, ntyp = 3
/
ATOMIC_SPECIES
Nd 144.24 Nd.upf
Si 28.09 Si.upf
Se 78.96 Se.upf
CELL_PARAMETERS angstrom
2.125 1.227 7.045
-2.125 1.227 7.045
0.000 -2.454 7.045
ATOMIC_POSITIONS crystal
Nd 0.247 0.247 0.247
Nd 0.753 0.753 0.753
Si 0.500 0.500 0.500
Se 0.000 0.000 0.000
! Uncorrected formation energy = -1.30 eV/atom
! Crystal system = trigonal
! Calculated total energy = -23.63 eV per formula unit
! Total magnetic moment = 0.000 Bohr magnetons per cell



Record 2
! Nd2SiSe, relaxed, DFT PBE-GGA; values from VASP
&SYSTEM
  ibrav = 0, nat = 4, ntyp = 3
/
ATOMIC_SPECIES
Nd 144.24 Nd.upf
Si 28.09 Si.upf
Se 78.96 Se.upf
CELL_PARAMETERS angstrom
2.100 1.213 7.354
-2.100 1.213 7.354
0.000 -2.425 7.354
ATOMIC_POSITIONS crystal
Nd 0.000 0.000 0.000
Nd 0.179 0.179 0.179
Si 0.589 0.589 0.589
Se 0.759 0.759 0.759
! Uncorrected formation energy = -1.19 eV/atom
! Crystal system = trigonal
! Calculated total energy = -23.21 eV per formula unit
! Total magnetic moment = 0.000 Bohr magnetons per cell



Record 3
! Nd3SiSe6, relaxed, DFT PBE-GGA; values from VASP
&SYSTEM
  ibrav = 0, nat = 20, ntyp = 3
/
ATOMIC_SPECIES
Nd 144.24 Nd.upf
Si 28.09 Si.upf
Se 78.96 Se.upf
CELL_PARAMETERS angstrom
5.741 -7.110 0.000
5.741 7.110 0.000
0.000 0.000 6.966
ATOMIC_POSITIONS crystal
Nd 0.097 0.903 0.500
Nd 0.221 0.415 0.403
Nd 0.415 0.221 0.903
Nd 0.585 0.779 0.403
Nd 0.779 0.585 0.903
Nd 0.903 0.097 0.000
Si 0.299 0.701 0.858
Si 0.701 0.299 0.358
Se 0.073 0.599 0.696
Se 0.128 0.194 0.701
Se 0.194 0.128 0.201
Se 0.285 0.715 0.203
Se 0.401 0.927 0.696
Se 0.457 0.543 0.730
Se 0.543 0.457 0.230
Se 0.599 0.073 0.196
Se 0.715 0.285 0.703
Se 0.806 0.872 0.701
Se 0.872 0.806 0.201
Se 0.927 0.401 0.196
! Uncorrected formation energy = -1.43 eV/atom
! Crystal system = orthorhombic
! Calculated total energy = -54.97 eV per formula unit
! Total magnetic moment = 0.000 Bohr magnetons per cell



Record 4
! Nd8SiSe6, relaxed, DFT PBE-GGA; values from VASP
&SYSTEM
  ibrav = 0, nat = 15, ntyp = 3
/
ATOMIC_SPECIES
Nd 144.24 Nd.upf
Si 28.09 Si.upf
Se 78.96 Se.upf
CELL_PARAMETERS angstrom
10.706 0.000 0.000
-5.353 9.272 0.000
0.000 0.000 4.256
ATOMIC_POSITIONS crystal
Nd 0.032 0.723 0.256
Nd 0.277 0.309 0.256
Nd 0.309 0.032 0.744
Nd 0.333 0.667 0.749
Nd 0.667 0.333 0.251
Nd 0.691 0.968 0.256
Nd 0.723 0.691 0.744
Nd 0.968 0.277 0.744
Si 0.000 0.000 0.500
Se 0.128 0.481 0.250
Se 0.352 0.872 0.250
Se 0.481 0.352 0.750
Se 0.519 0.648 0.250
Se 0.648 0.128 0.750
Se 0.872 0.519 0.750
! Uncorrected formation energy = -1.32 eV/atom
! Crystal system = trigonal
! Calculated total energy = -84.30 eV per formula unit
! Total magnetic moment = 0.000 Bohr magnetons per cell



Record 5
! Nd2SiSe, relaxed, DFT PBE-GGA; values from VASP
&SYSTEM
  ibrav = 0, nat = 16, ntyp = 3
/
ATOMIC_SPECIES
Nd 144.24 Nd.upf
Si 28.09 Si.upf
Se 78.96 Se.upf
CELL_PARAMETERS angstrom
4.274 -8.480 0.000
4.274 8.480 0.000
-4.220 0.000 6.049
ATOMIC_POSITIONS crystal
Nd 0.059 0.434 0.744
Nd 0.177 0.303 0.243
Nd 0.303 0.177 0.743
Nd 0.434 0.059 0.244
Nd 0.566 0.941 0.756
Nd 0.697 0.823 0.257
Nd 0.823 0.697 0.757
Nd 0.941 0.566 0.256
Si 0.065 0.935 0.250
Si 0.190 0.810 0.750
Si 0.810 0.190 0.250
Si 0.935 0.065 0.750
Se 0.314 0.686 0.250
Se 0.439 0.561 0.750
Se 0.561 0.439 0.250
Se 0.686 0.314 0.750
! Uncorrected formation energy = -1.31 eV/atom
! Crystal system = monoclinic
! Calculated total energy = -23.67 eV per formula unit
! Total magnetic moment = 0.000 Bohr magnetons per cell



Record 6
! Nd12Si5Se28, relaxed, DFT PBE-GGA; values from VASP
&SYSTEM
  ibrav = 0, nat = 45, ntyp = 3
/
ATOMIC_SPECIES
Nd 144.24 Nd.upf
Si 28.09 Si.upf
Se 78.96 Se.upf
CELL_PARAMETERS angstrom
10.600 0.000 0.000
0.000 12.195 0.000
5.298 6.083 9.179
ATOMIC_POSITIONS crystal
Nd 0.000 0.000 0.000
Nd 0.001 0.533 0.981
Nd 0.096 0.820 0.411
Nd 0.107 0.302 0.395
Nd 0.217 0.936 0.639
Nd 0.238 0.457 0.625
Nd 0.510 0.054 0.895
Nd 0.522 0.581 0.886
Nd 0.646 0.207 0.128
Nd 0.648 0.698 0.109
Nd 0.735 0.500 0.536
Nd 0.748 0.987 0.539
Si 0.206 0.260 0.086
Si 0.206 0.752 0.102
Si 0.538 0.339 0.433
Si 0.540 0.844 0.426
Si 0.874 0.234 0.762
Se 0.013 0.457 0.536
Se 0.043 0.010 0.495
Se 0.110 0.167 0.678
Se 0.130 0.669 0.666
Se 0.205 0.568 0.098
Se 0.207 0.072 0.091
Se 0.284 0.939 0.872
Se 0.291 0.451 0.861
Se 0.345 0.782 0.192
Se 0.362 0.299 0.158
Se 0.391 0.453 0.349
Se 0.397 0.962 0.341
Se 0.453 0.300 0.662
Se 0.456 0.804 0.654
Se 0.533 0.148 0.443
Se 0.545 0.663 0.415
Se 0.610 0.827 0.856
Se 0.647 0.303 0.849
Se 0.708 0.492 0.020
Se 0.719 0.006 0.001
Se 0.766 0.485 0.289
Se 0.769 0.990 0.281
Se 0.779 0.703 0.598
Se 0.787 0.202 0.608
Se 0.960 0.276 0.903
Se 0.964 0.788 0.933
Se 0.976 0.263 0.227
Se 0.981 0.750 0.255
! Uncorrected formation energy = -1.40 eV/atom
! Crystal system = triclinic
! Calculated total energy = -245.12 eV per formula unit
! Total magnetic moment = 0.000 Bohr magnetons per cell



Record 7
! Nd2SiSe5, relaxed, DFT PBE-GGA; values from VASP
&SYSTEM
  ibrav = 0, nat = 8, ntyp = 3
/
ATOMIC_SPECIES
Nd 144.24 Nd.upf
Si 28.09 Si.upf
Se 78.96 Se.upf
CELL_PARAMETERS angstrom
-3.576 3.576 4.242
3.576 -3.576 4.242
3.576 3.576 -4.242
ATOMIC_POSITIONS crystal
Nd 0.000 0.500 0.500
Nd 0.500 0.000 0.500
Si 0.261 0.261 0.000
Se 0.429 0.429 0.460
Se 0.429 0.969 0.000
Se 0.524 0.524 0.000
Se 0.969 0.429 0.000
Se 0.969 0.969 0.540
! Uncorrected formation energy = -1.04 eV/atom
! Crystal system = tetragonal
! Calculated total energy = -40.71 eV per formula unit
! Total magnetic moment = 0.000 Bohr magnetons per cell



Record 8
! Nd5Si2Se2, relaxed, DFT PBE-GGA; values from VASP
&SYSTEM
  ibrav = 0, nat = 18, ntyp = 3
/
ATOMIC_SPECIES
Nd 144.24 Nd.upf
Si 28.09 Si.upf
Se 78.96 Se.upf
CELL_PARAMETERS angstrom
7.547 -3.919 0.000
7.547 3.919 0.000
0.000 0.000 7.895
ATOMIC_POSITIONS crystal
Nd 0.000 0.000 0.000
Nd 0.038 0.693 0.669
Nd 0.193 0.538 0.169
Nd 0.307 0.962 0.669
Nd 0.462 0.807 0.169
Nd 0.500 0.500 0.500
Nd 0.538 0.193 0.831
Nd 0.693 0.038 0.331
Nd 0.807 0.462 0.831
Nd 0.962 0.307 0.331
Si 0.117 0.883 0.383
Si 0.383 0.617 0.883
Si 0.617 0.383 0.117
Si 0.883 0.117 0.617
Se 0.201 0.201 0.000
Se 0.299 0.299 0.500
Se 0.701 0.701 0.500
Se 0.799 0.799 0.000
! Uncorrected formation energy = -1.16 eV/atom
! Crystal system = orthorhombic
! Calculated total energy = -52.12 eV per formula unit
! Total magnetic moment = 0.000 Bohr magnetons per cell



Record 9
! Nd3Si5Se12, relaxed, DFT PBE-GGA; values from VASP
&SYSTEM
  ibrav = 0, nat = 80, ntyp = 3
/
ATOMIC_SPECIES
Nd 144.24 Nd.upf
Si 28.09 Si.upf
Se 78.96 Se.upf
CELL_PARAMETERS angstrom
-7.985 7.985 7.985
7.985 -7.985 7.985
7.985 7.985 -7.985
ATOMIC_POSITIONS crystal
Nd 0.125 0.250 0.375
Nd 0.125 0.375 0.750
Nd 0.250 0.375 0.125
Nd 0.250 0.875 0.625
Nd 0.375 0.125 0.250
Nd 0.375 0.750 0.125
Nd 0.625 0.250 0.875
Nd 0.625 0.875 0.750
Nd 0.750 0.125 0.375
Nd 0.750 0.625 0.875
Nd 0.875 0.625 0.250
Nd 0.875 0.750 0.625
Si 0.000 0.000 0.000
Si 0.000 0.000 0.500
Si 0.000 0.500 0.000
Si 0.000 0.500 0.500
Si 0.125 0.750 0.875
Si 0.125 0.875 0.250
Si 0.250 0.125 0.875
Si 0.250 0.625 0.375
Si 0.375 0.250 0.625
Si 0.375 0.625 0.750
Si 0.500 0.000 0.000
Si 0.500 0.000 0.500
Si 0.500 0.500 0.000
Si 0.500 0.500 0.500
Si 0.625 0.375 0.250
Si 0.625 0.750 0.375
Si 0.750 0.375 0.625
Si 0.750 0.875 0.125
Si 0.875 0.125 0.750
Si 0.875 0.250 0.125
Se 0.027 0.211 0.122
Se 0.027 0.316 0.905
Se 0.089 0.711 0.684
Se 0.089 0.878 0.405
Se 0.095 0.622 0.411
Se 0.095 0.973 0.684
Se 0.122 0.027 0.211
Se 0.122 0.595 0.911
Se 0.184 0.211 0.589
Se 0.184 0.473 0.595
Se 0.211 0.122 0.027
Se 0.211 0.589 0.184
Se 0.289 0.316 0.911
Se 0.289 0.473 0.378
Se 0.316 0.905 0.027
Se 0.316 0.911 0.289
Se 0.378 0.289 0.473
Se 0.378 0.589 0.905
Se 0.405 0.089 0.878
Se 0.405 0.816 0.527
Se 0.411 0.095 0.622
Se 0.411 0.816 0.789
Se 0.473 0.378 0.289
Se 0.473 0.595 0.184
Se 0.527 0.405 0.816
Se 0.527 0.622 0.711
Se 0.589 0.184 0.211
Se 0.589 0.905 0.378
Se 0.595 0.184 0.473
Se 0.595 0.911 0.122
Se 0.622 0.411 0.095
Se 0.622 0.711 0.527
Se 0.684 0.089 0.711
Se 0.684 0.095 0.973
Se 0.711 0.527 0.622
Se 0.711 0.684 0.089
Se 0.789 0.411 0.816
Se 0.789 0.878 0.973
Se 0.816 0.527 0.405
Se 0.816 0.789 0.411
Se 0.878 0.405 0.089
Se 0.878 0.973 0.789
Se 0.905 0.027 0.316
Se 0.905 0.378 0.589
Se 0.911 0.122 0.595
Se 0.911 0.289 0.316
Se 0.973 0.684 0.095
Se 0.973 0.789 0.878
! Uncorrected formation energy = -0.81 eV/atom
! Crystal system = cubic
! Calculated total energy = -99.40 eV per formula unit
! Total magnetic moment = 0.000 Bohr magnetons per cell



Record 10
! NdSiSe3, relaxed, DFT PBE-GGA; values from VASP
&SYSTEM
  ibrav = 0, nat = 20, ntyp = 3
/
ATOMIC_SPECIES
Nd 144.24 Nd.upf
Si 28.09 Si.upf
Se 78.96 Se.upf
CELL_PARAMETERS angstrom
8.138 0.000 0.000
0.000 6.647 0.000
0.000 0.000 9.220
ATOMIC_POSITIONS crystal
Nd 0.114 0.037 0.000
Nd 0.386 0.537 0.500
Nd 0.614 0.463 0.000
Nd 0.886 0.963 0.500
Si 0.074 0.528 0.230
Si 0.426 0.028 0.730
Si 0.574 0.972 0.230
Si 0.926 0.472 0.730
Se 0.029 0.396 0.486
Se 0.173 0.842 0.303
Se 0.184 0.841 0.695
Se 0.316 0.341 0.195
Se 0.327 0.342 0.803
Se 0.471 0.896 0.986
Se 0.529 0.104 0.486
Se 0.673 0.658 0.303
Se 0.684 0.659 0.695
Se 0.816 0.159 0.195
Se 0.827 0.158 0.803
Se 0.971 0.604 0.986
! Uncorrected formation energy = -1.00 eV/atom
! Crystal system = orthorhombic
! Calculated total energy = -25.63 eV per formula unit
! Total magnetic moment = 0.000 Bohr magnetons per cell



Record 11
! NdSiSe4, relaxed, DFT PBE-GGA; values from VASP
&SYSTEM
  ibrav = 0, nat = 12, ntyp = 3
/
ATOMIC_SPECIES
Nd 144.24 Nd.upf
Si 28.09 Si.upf
Se 78.96 Se.upf
CELL_PARAMETERS angstrom
-4.825 4.825 3.895
4.825 -4.825 3.895
4.825 4.825 -3.895
ATOMIC_POSITIONS crystal
Nd 0.375 0.625 0.750
Nd 0.625 0.375 0.250
Si 0.125 0.875 0.250
Si 0.875 0.125 0.750
Se 0.118 0.687 0.432
Se 0.245 0.313 0.932
Se 0.313 0.245 0.432
Se 0.313 0.882 0.068
Se 0.687 0.118 0.932
Se 0.687 0.755 0.568
Se 0.755 0.687 0.068
Se 0.882 0.313 0.568
! Uncorrected formation energy = -0.84 eV/atom
! Crystal system = tetragonal
! Calculated total energy = -29.14 eV per formula unit
! Total magnetic moment = 0.001 Bohr magnetons per cell



Record 12
! Nd12Si5Se28, relaxed, DFT PBE-GGA; values from VASP
&SYSTEM
  ibrav = 0, nat = 90, ntyp = 3
/
ATOMIC_SPECIES
Nd 144.24 Nd.upf
Si 28.09 Si.upf
Se 78.96 Se.upf
CELL_PARAMETERS angstrom
10.619 0.000 0.000
-5.309 9.196 0.000
0.000 0.000 24.431
ATOMIC_POSITIONS crystal
Nd 0.017 0.552 0.000
Nd 0.018 0.563 0.761
Nd 0.027 0.563 0.263
Nd 0.028 0.575 0.519
Nd 0.300 0.104 0.128
Nd 0.307 0.102 0.387
Nd 0.314 0.109 0.882
Nd 0.324 0.104 0.646
Nd 0.425 0.453 0.519
Nd 0.437 0.455 0.761
Nd 0.437 0.464 0.263
Nd 0.448 0.465 0.000
Nd 0.535 0.983 0.000
Nd 0.536 0.973 0.263
Nd 0.545 0.982 0.761
Nd 0.547 0.972 0.519
Nd 0.780 0.676 0.646
Nd 0.795 0.686 0.882
Nd 0.796 0.693 0.387
Nd 0.804 0.700 0.128
Nd 0.891 0.205 0.882
Nd 0.896 0.196 0.128
Nd 0.896 0.220 0.646
Nd 0.898 0.204 0.387
Si 0.000 0.000 0.237
Si 0.000 0.000 0.493
Si 0.000 0.000 0.740
Si 0.000 0.000 0.984
Si 0.333 0.667 0.113
Si 0.333 0.667 0.369
Si 0.333 0.667 0.617
Si 0.333 0.667 0.862
Si 0.667 0.333 0.208
Si 0.667 0.333 0.454
Se 0.000 0.000 0.079
Se 0.000 0.000 0.331
Se 0.000 0.000 0.584
Se 0.000 0.000 0.832
Se 0.078 0.852 0.702
Se 0.081 0.854 0.454
Se 0.084 0.854 0.201
Se 0.084 0.855 0.949
Se 0.145 0.229 0.949
Se 0.146 0.227 0.454
Se 0.146 0.229 0.201
Se 0.148 0.226 0.702
Se 0.179 0.439 0.579
Se 0.186 0.439 0.825
Se 0.187 0.439 0.331
Se 0.192 0.439 0.076
Se 0.247 0.808 0.076
Se 0.252 0.813 0.331
Se 0.253 0.814 0.825
Se 0.260 0.821 0.579
Se 0.333 0.667 0.208
Se 0.333 0.667 0.461
Se 0.333 0.667 0.708
Se 0.333 0.667 0.955
Se 0.410 0.174 0.018
Se 0.413 0.167 0.764
Se 0.424 0.178 0.266
Se 0.437 0.179 0.505
Se 0.493 0.417 0.637
Se 0.504 0.426 0.888
Se 0.515 0.419 0.396
Se 0.528 0.419 0.154
Se 0.561 0.740 0.579
Se 0.561 0.747 0.825
Se 0.561 0.748 0.331
Se 0.561 0.753 0.076
Se 0.574 0.078 0.888
Se 0.581 0.097 0.396
Se 0.581 0.108 0.154
Se 0.583 0.075 0.637
Se 0.742 0.563 0.505
Se 0.754 0.576 0.266
Se 0.754 0.587 0.764
Se 0.763 0.590 0.018
Se 0.771 0.916 0.201
Se 0.771 0.916 0.949
Se 0.773 0.919 0.454
Se 0.774 0.922 0.702
Se 0.821 0.258 0.505
Se 0.822 0.246 0.266
Se 0.826 0.237 0.018
Se 0.833 0.246 0.764
Se 0.892 0.472 0.154
Se 0.903 0.485 0.396
Se 0.922 0.496 0.888
Se 0.925 0.507 0.637
! Uncorrected formation energy = -1.39 eV/atom
! Crystal system = trigonal
! Calculated total energy = -244.45 eV per formula unit
! Total magnetic moment = 0.000 Bohr magnetons per cell